Zr5Bi2As2: relaxed, PBE-GGA.

Values from the calculation:
The density of states at the Fermi level comes out at 4.85 states/eV/f.u. The value obtained for the final energy is -132.5 eV/cell. The value obtained for the formation energy is -0.72 eV per atom. As for the symmetry: No. 64. For the magnetic moment, the calculation gives 0.00 μB per cell.

a b c (Å): 7.4542 7.3917 8.2573
angles (deg): 90.00 63.17 90.00
Element x y z (fractional)
Zr 0.0000 0.0000 0.0000
Zr 0.5000 0.5000 0.0000
Zr 0.4643 0.1600 0.7639
Zr 0.7718 0.8400 0.7639
Zr 0.2718 0.6600 0.7639
Zr 0.9643 0.3400 0.7639
Zr 0.5357 0.8400 0.2361
Zr 0.2282 0.1600 0.2361
Zr 0.7282 0.3400 0.2361
Zr 0.0357 0.6600 0.2361
Bi 0.2068 0.0000 0.5864
Bi 0.7068 0.5000 0.5864
Bi 0.7932 0.0000 0.4136
Bi 0.2932 0.5000 0.4136
As 0.1423 0.3608 0.0000
As 0.8577 0.6392 0.0000
As 0.3577 0.8608 0.0000
As 0.6423 0.1392 0.0000

---

AsBr3: relaxed, PBE-GGA.

Values from the calculation:
The density of states at the Fermi level comes out at 3.03 states/eV/f.u. The value obtained for the final energy is -15.3 eV/cell. As for the uncorrected formation energy: 0.51 eV/atom. As for the symmetry: No. 223. For the magnetic moment, the calculation gives 0.84 μB per cell.

a b c (Å): 5.8181 5.8181 5.8181
angles (deg): 90.00 90.00 90.00
Last column: magnetic moment on the atom in μB.
Element x y z (fractional)
As 0.0000 0.0000 0.0000  0.24
As 0.5000 0.5000 0.5000  0.24
Br 0.7500 0.5000 0.0000  -0.01
Br 0.2500 0.5000 0.0000  -0.01
Br 0.0000 0.7500 0.5000  -0.01
Br 0.0000 0.2500 0.5000  -0.01
Br 0.5000 0.0000 0.2500  -0.01
Br 0.5000 0.0000 0.7500  -0.01

---

As6Br7: relaxed, PBE-GGA.

Values from the calculation:
The density of states at the Fermi level comes out at 8.89 states/eV/f.u. The value obtained for the final energy is -38.8 eV/cell. As for the uncorrected formation energy: 0.06 eV/atom. As for the symmetry: No. 166. For the magnetic moment, the calculation gives 1.05 μB per cell.

a b c (Å): 12.0998 12.0998 12.0998
angles (deg): 35.91 35.91 35.91
Last column: magnetic moment on the atom in μB.
Element x y z (fractional)
As 0.8956 0.8956 0.8956  0.09
As 0.1044 0.1044 0.1044  0.09
As 0.8324 0.8324 0.8324  0.03
As 0.1676 0.1676 0.1676  0.03
As 0.6950 0.6950 0.6950  0.00
As 0.3050 0.3050 0.3050  0.00
Br 0.9475 0.4333 0.4333  0.00
Br 0.4333 0.4333 0.9475  0.00
Br 0.4333 0.9475 0.4333  0.00
Br 0.0525 0.5667 0.5667  0.00
Br 0.5667 0.0525 0.5667  0.00
Br 0.5667 0.5667 0.0525  0.00
Br 0.5000 0.5000 0.5000  0.39

---

As5Br4: relaxed, PBE-GGA.

Values from the calculation:
The density of states at the Fermi level comes out at 2.96 states/eV/f.u. The value obtained for the final energy is -29.1 eV/cell. As for the uncorrected formation energy: 0.10 eV/atom. The excess energy over the best structure of this formula in the dataset comes out at 0.00 kcal/mol of atoms. As for the symmetry: No. 139. For the magnetic moment, the calculation gives 0.00 μB per cell.

a b c (Å): 9.9614 9.9614 9.9614
angles (deg): 91.85 91.85 159.29
Element x y z (fractional)
As 0.0000 0.0000 0.0000
As 0.2895 0.7105 0.0000
As 0.7105 0.2895 0.0000
As 0.7105 0.7105 0.4209
As 0.2895 0.2895 0.5791
Br 0.1887 0.0000 0.1887
Br 0.8113 0.0000 0.8113
Br 0.0000 0.8113 0.8113
Br 0.0000 0.1887 0.1887

---

AsBr8: relaxed, PBE-GGA.

Values from the calculation:
The density of states at the Fermi level comes out at 8.33 states/eV/f.u. The value obtained for the final energy is -16.8 eV/cell. As for the uncorrected formation energy: 0.13 eV/atom. As for the symmetry: No. 139. For the magnetic moment, the calculation gives 0.52 μB per cell.

a b c (Å): 7.4867 7.4867 7.4867
angles (deg): 108.52 108.52 111.39
Last column: magnetic moment on the atom in μB.
Element x y z (fractional)
As 0.0000 0.0000 0.0000  0.23
Br 0.6650 0.3350 0.0000  0.00
Br 0.3350 0.6650 0.0000  0.00
Br 0.3001 0.0000 0.3001  0.01
Br 0.6650 0.6650 0.3300  0.00
Br 0.0000 0.3001 0.3001  0.01
Br 0.3350 0.3350 0.6700  0.00
Br 0.6999 0.0000 0.6999  0.01
Br 0.0000 0.6999 0.6999  0.01

---

As3Br2: relaxed, PBE-GGA.

Values from the calculation:
The density of states at the Fermi level comes out at 4.05 states/eV/f.u. The value obtained for the final energy is -16.1 eV/cell. As for the uncorrected formation energy: 0.24 eV/atom. The excess energy over the best structure of this formula in the dataset comes out at 6.30 kcal/mol of atoms. As for the symmetry: No. 164. For the magnetic moment, the calculation gives 0.00 μB per cell.

a b c (Å): 4.3390 4.3390 11.1731
angles (deg): 90.00 90.00 120.00
Element x y z (fractional)
As 0.0000 0.0000 0.0000
As 0.6667 0.3333 0.4994
As 0.3333 0.6667 0.5006
Br 0.6667 0.3333 0.1180
Br 0.3333 0.6667 0.8820

---

As5Br4: relaxed, PBE-GGA.

Values from the calculation:
The density of states at the Fermi level comes out at 3.47 states/eV/f.u. The value obtained for the final energy is -56.5 eV/cell. As for the uncorrected formation energy: 0.19 eV/atom. The excess energy over the best structure of this formula in the dataset comes out at 2.10 kcal/mol of atoms. As for the symmetry: No. 193. For the magnetic moment, the calculation gives 0.00 μB per cell.

a b c (Å): 10.6297 10.6297 5.3605
angles (deg): 90.00 90.00 120.00
Element x y z (fractional)
As 0.0000 0.5024 0.2500
As 0.4976 0.4976 0.2500
As 0.5024 0.0000 0.2500
As 0.0000 0.4976 0.7500
As 0.5024 0.5024 0.7500
As 0.4976 0.0000 0.7500
As 0.6667 0.3333 0.0000
As 0.3333 0.6667 0.5000
As 0.3333 0.6667 0.0000
As 0.6667 0.3333 0.5000
Br 0.0000 0.0000 0.0000
Br 0.0000 0.0000 0.5000
Br 0.0000 0.2823 0.2500
Br 0.7177 0.7177 0.2500
Br 0.2823 0.0000 0.2500
Br 0.0000 0.7177 0.7500
Br 0.2823 0.2823 0.7500
Br 0.7177 0.0000 0.7500

---

AsBr: relaxed, PBE-GGA.

Values from the calculation:
The value obtained for the final energy is -38.1 eV/cell. As for the uncorrected formation energy: -0.01 eV/atom. The excess energy over the best structure of this formula in the dataset comes out at 5.20 kcal/mol of atoms. As for the symmetry: No. 59. For the magnetic moment, the calculation gives 0.00 μB per cell.

a b c (Å): 3.6942 6.9904 19.0025
angles (deg): 90.00 90.00 90.00
Element x y z (fractional)
As 0.0000 0.8935 0.7376
As 0.5000 0.1065 0.7624
As 0.5000 0.1065 0.2376
As 0.0000 0.8935 0.2624
As 0.0000 0.6889 0.0000
As 0.5000 0.3111 0.5000
Br 0.0000 0.4775 0.9002
Br 0.5000 0.5225 0.5998
Br 0.5000 0.5225 0.4002
Br 0.0000 0.4775 0.0998
Br 0.0000 0.0269 0.5000
Br 0.5000 0.9731 0.0000